Entry 1:
Compound: HfGaNiOs
Source: Alexandria via LeMat-Bulk
Functional: GGA-PBE
Structure: relaxed

Calculated values
The crystal system is cubic. As for the space group: No. 216.

The structure in extended XYZ format:
```
4
Lattice="-1.000 -0.991 -4.179 -2.134 -3.746 -0.928 -4.196 0.129 -1.353" Properties=species:S:1:pos:R:3 pbc="T T T"
Hf 0.000 0.000 0.000
Os -5.497 -3.456 -4.846
Ga -3.665 -2.304 -3.230
Ni -1.832 -1.152 -1.615
```

Entry 2:
Compound: HfGaNiPd
Source: Alexandria via LeMat-Bulk
Functional: GGA-PBE
Structure: relaxed

Calculated values
The crystal system is cubic. As for the space group: No. 216.

The structure in extended XYZ format:
```
4
Lattice="4.436 0.000 0.000 2.218 3.841 0.000 2.218 1.280 3.622" Properties=species:S:1:pos:R:3 pbc="T T T"
Ni 2.218 1.280 0.905
Hf 0.000 0.000 0.000
Ga 4.436 2.561 1.811
Pd 6.653 3.841 2.716
```

Entry 3:
Compound: HfGaNiPt2
Source: Alexandria via LeMat-Bulk
Functional: GGA-PBE
Structure: relaxed

Calculated values
The crystal system is tetragonal. As for the space group: No. 123.

The structure in extended XYZ format:
```
5
Lattice="-1.616 4.381 -1.401 -4.586 -1.650 0.130 -0.370 1.411 4.842" Properties=species:S:1:pos:R:3 pbc="T T T"
Ni -3.286 2.071 1.786
Hf 0.000 0.000 0.000
Ga -0.185 0.706 2.421
Pt -2.293 -0.825 0.065
Pt -0.808 2.191 -0.700
```

Entry 4:
Compound: Hf2GaNiPt5
Source: Alexandria via LeMat-Bulk
Functional: GGA-PBE
Structure: relaxed

Calculated values
The crystal system is tetragonal. As for the space group: No. 140.

The structure in extended XYZ format:
```
18
Lattice="8.135 0.000 0.000 0.000 8.135 0.000 -4.067 -4.067 4.966" Properties=species:S:1:pos:R:3 pbc="T T T"
Hf 1.023 3.045 0.000
Hf 5.090 1.023 0.000
Hf 3.045 7.112 0.000
Hf 7.112 5.090 0.000
Ga 0.000 0.000 2.483
Ga 4.067 4.067 2.483
Ni 0.000 4.067 2.483
Ni 4.067 0.000 2.483
Pt 6.644 2.577 1.342
Pt 2.577 -1.490 3.625
Pt -2.577 1.490 3.625
Pt -1.490 -2.577 3.625
Pt 1.490 2.577 3.625
Pt 5.557 6.644 1.342
Pt 2.577 1.490 1.342
Pt 1.490 5.557 1.342
Pt 4.067 4.067 0.000
Pt 0.000 0.000 0.000
```

Entry 5:
Compound: HfGaNiPt
Source: Alexandria via LeMat-Bulk
Functional: GGA-PBE
Structure: relaxed

Calculated values
The crystal system is cubic. As for the space group: No. 216.

The structure in extended XYZ format:
```
4
Lattice="4.453 0.000 0.000 2.227 3.857 0.000 2.227 1.286 3.636" Properties=species:S:1:pos:R:3 pbc="T T T"
Ni 6.680 3.857 2.727
Hf 0.000 0.000 0.000
Ga 4.453 2.571 1.818
Pt 2.227 1.286 0.909
```

Entry 6:
Compound: RbHf2GaNi
Source: Alexandria via LeMat-Bulk
Functional: GGA-PBE
Structure: relaxed

Calculated values
The crystal system is tetragonal. As for the space group: No. 123.

The structure in extended XYZ format:
```
5
Lattice="5.029 0.000 0.000 0.000 5.973 0.000 0.000 0.000 5.029" Properties=species:S:1:pos:R:3 pbc="T T T"
Ni 2.515 2.987 2.515
Hf 0.000 0.000 2.515
Hf 2.515 0.000 0.000
Ga 0.000 0.000 0.000
Rb 0.000 2.987 0.000
```

| no. | DFT formation energy (meV per atom) | ρ (g cm⁻³) |
| --- | --- | --- |
| 1 | -406 | 13.6 |
| 2 | -605 | 11.1 |
| 3 | 1037 | 9.6 |
| 4 | -336 | 14.8 |
| 5 | -715 | 13.3 |
| 6 | 1343 | 6.3 |